The following is a DFT calculation (GGA-PBE) of an optimized crystal structure of BaNdAlS4.

## Properties
symmetry = No. 11
formation energy without anion corrections = -1779.6 meV per atom

Unit cell a=6.6628 b=6.7302 c=8.5425 alpha=90.00 beta=107.63 gamma=90.00
Last column: nearest neighbours and their distance in Å.
Fractional coordinates of all 14 atoms:
Ba: 0.2358 0.2500 0.4337  6 S 3.08-3.37
Ba: 0.7642 0.7500 0.5663  6 S 3.08-3.37
Nd: 0.2776 0.2500 0.9480  6 S 2.85-2.94
Nd: 0.7224 0.7500 0.0520  6 S 2.85-2.94
Al: 0.2690 0.7500 0.1804  4 S 2.22-2.25
Al: 0.7310 0.2500 0.8196  4 S 2.22-2.25
S: 0.0678 0.7500 0.9196  1 Al 2.22
S: 0.0741 0.7500 0.3527  1 Al 2.24
S: 0.5002 0.0037 0.2261  1 Al 2.25
S: 0.5002 0.4963 0.2261  1 Al 2.25
S: 0.4998 0.5037 0.7739  1 Al 2.25
S: 0.4998 0.9963 0.7739  1 Al 2.25
S: 0.9259 0.2500 0.6473  1 Al 2.24
S: 0.9322 0.2500 0.0804  1 Al 2.22